Entry 1:
CdCuSbF2: optimized geometry, PBE.

Cell: 4.3733 4.3733 5.1597 Å, 90.00 90.00 90.00°
With the nearest neighbours (Å) after each atom.
Fractional positions:
Cd (0.5000, 0.5000, 0.5000)  4 Cu 3.09, 8 F 3.38
F (0.0000, 0.5000, 0.0000)  2 Sb 2.19
F (0.5000, 0.0000, 0.0000)  2 Sb 2.19
Sb (0.0000, 0.0000, 0.0000)  4 F 2.19
Cu (0.0000, 0.0000, 0.5000)  2 Sb 2.58

Output
ρ, g/cm³: 5.65
Space group: P4/mmm, No. 123
Total magnetization, μB per cell: 0.0
Formation energy (no corrections), eV per atom: -0.987

=====

Entry 2:
KCr2In: optimized geometry, PBE.

Cell: 5.0280 5.0280 7.2893 Å, 83.77 83.77 37.60°
With the nearest neighbours (Å) after each atom.
Fractional positions:
Cr (0.4817, 0.4817, 0.5884)  3 In 2.88-2.93, 2 Cr 2.91
Cr (0.0183, 0.0183, 0.9116)  3 In 2.88-2.93, 2 Cr 2.91
In (0.7500, 0.7500, 0.7500)  6 Cr 2.88-2.93
K (0.2500, 0.2500, 0.2500)  2 K 3.24, 2 Cr 3.49

Output
ρ, g/cm³: 3.83
Space group: C2/m, No. 12
Total magnetization, μB per cell: 9.0
Formation energy, meV per atom: 849.7

=====

Entry 3:
CePaCrTc: optimized geometry, PBE.

Cell: 4.8583 4.8583 4.8583 Å, 60.00 60.00 60.00°
With the nearest neighbours (Å) after each atom.
Fractional positions:
Pa (0.0000, 0.0000, 0.0000)  4 Cr 2.98, 4 Tc 2.98
Tc (0.2500, 0.2500, 0.2500)  4 Pa 2.98, 4 Ce 2.98
Cr (0.7500, 0.7500, 0.7500)  4 Ce 2.98, 4 Pa 2.98
Ce (0.5000, 0.5000, 0.5000)  4 Tc 2.98, 4 Cr 2.98

Output
ρ, g/cm³: 10.67
Space group: F-43m, No. 216
Total magnetization, μB per cell: 1.6
Formation energy, meV per atom: 210.0

=====

Entry 4:
CoSN2: optimized geometry, PBE.

Cell: 3.7038 3.7038 3.7038 Å, 60.00 60.00 60.00°
With the nearest neighbours (Å) after each atom.
Fractional positions:
N (0.7500, 0.7500, 0.7500)  4 S 2.27, 4 Co 2.27
N (0.2500, 0.2500, 0.2500)  4 Co 2.27, 4 S 2.27
S (0.0000, 0.0000, 0.0000)  8 N 2.27
Co (0.5000, 0.5000, 0.5000)  8 N 2.27

Output
ρ, g/cm³: 5.50
Space group: Fm-3m, No. 225
Total magnetization, μB per cell: 0.1
Formation energy (no corrections), eV per atom: 1.881

=====

The following total DFT energy (no corrections) values (in eV/atom) correspond, in order, to the records above: -3.562 -4.921 -8.645 -5.090.